VASP calculation (GGA-PBE) on crystalline Pr2Sm6HoMg at its relaxed geometry.

- DFT formation energy: 10.7 kJ/mol of atoms

a b c (Å): 8.779 8.779 9.763
angles (deg): 94.82 94.82 116.41
Sites, in units of the cell vectors:
Pr 0.202 0.297 0.049
Pr 0.297 0.202 0.549
Pr 0.703 0.798 0.451
Pr 0.798 0.703 0.951
Sm 0.006 0.573 0.193
Sm 0.123 0.751 0.552
Sm 0.249 0.877 0.948
Sm 0.297 0.501 0.385
Sm 0.427 0.994 0.307
Sm 0.499 0.703 0.115
Sm 0.501 0.297 0.885
Sm 0.573 0.006 0.693
Sm 0.703 0.499 0.615
Sm 0.751 0.123 0.052
Sm 0.877 0.249 0.448
Sm 0.994 0.427 0.807
Ho 0.015 0.985 0.250
Ho 0.985 0.015 0.750
Mg 0.405 0.595 0.750
Mg 0.595 0.405 0.250


VASP calculation (GGA-PBE) on crystalline Li6BiAu5 at its relaxed geometry.

- DFT formation energy: -48.9 kJ/mol of atoms

a b c (Å): 4.412 6.698 6.944
angles (deg): 90.00 106.68 90.00
Sites, in units of the cell vectors:
Li 0.000 0.229 0.000
Li 0.000 0.771 0.000
Li 0.330 0.236 0.655
Li 0.330 0.764 0.655
Li 0.670 0.236 0.345
Li 0.670 0.764 0.345
Bi 0.500 0.500 0.000
Au 0.162 0.000 0.329
Au 0.165 0.500 0.342
Au 0.500 0.000 0.000
Au 0.835 0.500 0.658
Au 0.838 0.000 0.671


VASP calculation (GGA-PBE) on crystalline CaMn2Os at its relaxed geometry.

- DFT formation energy: 57.2 kJ/mol of atoms
- Energy relative to the lowest polymorph listed for this composition: 273 meV per atom

a b c (Å): 6.099 7.151 2.955
angles (deg): 90.00 90.00 90.00
Sites, in units of the cell vectors:
Ca 0.000 0.000 0.000
Ca 0.500 0.500 0.000
Mn 0.250 0.250 0.500
Mn 0.250 0.750 0.500
Mn 0.750 0.250 0.500
Mn 0.750 0.750 0.500
Os 0.000 0.500 0.000
Os 0.500 0.000 0.000


VASP calculation (GGA-PBE) on crystalline Ca2ZrNpP4 at its relaxed geometry.

- DFT formation energy: -108.4 kJ/mol of atoms

a b c (Å): 6.811 3.954 6.983
angles (deg): 90.00 108.89 90.00
Sites, in units of the cell vectors:
Ca 0.000 0.000 0.000
Ca 0.500 0.500 0.000
Zr 0.000 0.500 0.500
Np 0.500 0.000 0.500
P 0.238 0.000 0.724
P 0.253 0.500 0.275
P 0.747 0.500 0.725
P 0.762 0.000 0.276


VASP calculation (GGA-PBE) on crystalline LiZr2Al9 at its relaxed geometry.

- DFT formation energy: -32.7 kJ/mol of atoms

a b c (Å): 4.077 4.077 12.245
angles (deg): 90.00 90.00 90.00
Sites, in units of the cell vectors:
Li 0.000 0.000 0.000
Zr 0.000 0.000 0.333
Zr 0.000 0.000 0.667
Al 0.000 0.500 0.159
Al 0.000 0.500 0.500
Al 0.000 0.500 0.841
Al 0.500 0.000 0.159
Al 0.500 0.000 0.500
Al 0.500 0.000 0.841
Al 0.500 0.500 0.000
Al 0.500 0.500 0.332
Al 0.500 0.500 0.668


VASP calculation (GGA-PBE) on crystalline Ag3F2 at its relaxed geometry.

- Raw formation energy: -628.6 meV/atom
- Energy relative to the lowest polymorph listed for this composition: 148 meV per atom

a b c (Å): 7.101 7.101 7.101
angles (deg): 45.58 45.58 45.58
Sites, in units of the cell vectors:
Ag 0.121 0.750 0.379
Ag 0.250 0.621 0.879
Ag 0.379 0.121 0.750
Ag 0.621 0.879 0.250
Ag 0.750 0.379 0.121
Ag 0.879 0.250 0.621
F 0.175 0.175 0.175
F 0.325 0.325 0.325
F 0.675 0.675 0.675
F 0.825 0.825 0.825